Below is an optimized crystal structure of ErTm2Hf, with properties calculated at the PBE level.

## Properties
Energy above the lowest structure with this stoichiometry (meV/atom): 283
Space group: R-3m

Unit cell a=3.3006 b=3.3006 c=12.0258 alpha=82.11 beta=82.11 gamma=60.00
Last column: nearest neighbours and their distance in Å.
Sites, in units of the cell vectors:
Tm1 0.0873 0.0873 0.7382  1 Hf 3.11, 6 Tm 3.30, 3 Er 3.41
Tm2 0.9127 0.9127 0.2618  1 Hf 3.11, 6 Tm 3.30, 3 Er 3.41
Hf1 0.0000 0.0000 0.0000  2 Tm 3.11, 6 Hf 3.30
Er1 0.5000 0.5000 0.5000  6 Er 3.30, 6 Tm 3.41

---

Below is an optimized crystal structure of ErTm2Hf, with properties calculated at the PBE level.

## Properties
Energy above the lowest structure with this stoichiometry (meV/atom): 63
Space group: P4/mmm

Unit cell a=4.7917 b=4.7883 c=4.7883 alpha=90.00 beta=90.00 gamma=90.00
Last column: nearest neighbours and their distance in Å.
Sites, in units of the cell vectors:
Tm1 0.0000 0.5000 0.0000  4 Tm 3.39, 4 Hf 3.39, 4 Er 3.39
Tm2 0.0000 0.0000 0.5000  4 Tm 3.39, 4 Hf 3.39, 4 Er 3.39
Hf1 0.5000 0.0000 0.0000  4 Er 3.39, 8 Tm 3.39
Er1 0.5000 0.5000 0.5000  4 Hf 3.39, 8 Tm 3.39

---

Below is an optimized crystal structure of Er14TmHf, with properties calculated at the PBE level.

## Properties
Space group: P4/mmm

Unit cell a=6.9588 b=6.9588 c=9.8160 alpha=90.00 beta=90.00 gamma=90.00
Last column: nearest neighbours and their distance in Å.
Sites, in units of the cell vectors:
Er1 0.3750 0.1251 0.5000  12 Er 3.48-3.52
Er2 0.6298 0.3702 0.7557  1 Hf 3.40, 10 Er 3.41-3.55, 1 Tm 3.47
Er3 0.6299 0.8799 0.2443  1 Hf 3.40, 10 Er 3.41-3.55, 1 Tm 3.47
Er4 0.8750 0.1250 0.5000  12 Er 3.48
Er5 0.1201 0.3701 0.7557  1 Hf 3.40, 10 Er 3.41-3.55, 1 Tm 3.47
Er6 0.6299 0.8799 0.7557  1 Hf 3.40, 10 Er 3.41-3.55, 1 Tm 3.47
Er7 0.1202 0.8798 0.7557  1 Hf 3.40, 10 Er 3.41-3.55, 1 Tm 3.47
Er8 0.3751 0.1250 0.0000  8 Er 3.44, 2 Tm 3.48, 2 Hf 3.48
Er9 0.8750 0.6249 0.0000  8 Er 3.44, 2 Tm 3.48, 2 Hf 3.48
Er10 0.8749 0.6250 0.5000  12 Er 3.48-3.52
Er11 0.1201 0.3701 0.2443  1 Hf 3.40, 10 Er 3.41-3.55, 1 Tm 3.47
Er12 0.3749 0.6251 0.5000  12 Er 3.48-3.55
Er13 0.6298 0.3702 0.2443  1 Hf 3.40, 10 Er 3.41-3.55, 1 Tm 3.47
Er14 0.1202 0.8798 0.2443  1 Hf 3.40, 10 Er 3.41-3.55, 1 Tm 3.47
Tm1 0.3750 0.6250 0.0000  12 Er 3.47-3.48
Hf1 0.8751 0.1249 0.0000  12 Er 3.40-3.48

---

Below is an optimized crystal structure of Er2TmHf, with properties calculated at the PBE level.

## Properties
Energy above the lowest structure with this stoichiometry (meV/atom): 120
Space group: P4/mmm

Unit cell a=3.9598 b=3.9598 c=7.1449 alpha=90.00 beta=90.00 gamma=90.00
Last column: nearest neighbours and their distance in Å.
Sites, in units of the cell vectors:
Er1 0.0000 0.0000 0.7261  1 Er 3.23, 4 Hf 3.23, 4 Tm 3.42
Er2 0.0000 0.0000 0.2739  1 Er 3.23, 4 Hf 3.23, 4 Tm 3.42
Tm1 0.5000 0.5000 0.0000  8 Er 3.42, 2 Hf 3.57
Hf1 0.5000 0.5000 0.5000  8 Er 3.23, 2 Tm 3.57

---

Below is an optimized crystal structure of Er2TmHf, with properties calculated at the PBE level.

## Properties
Energy above the lowest structure with this stoichiometry (meV/atom): 0
Space group: R3m

Unit cell a=3.4120 b=3.4120 c=11.2159 alpha=81.25 beta=81.25 gamma=60.00
Last column: nearest neighbours and their distance in Å.
Sites, in units of the cell vectors:
Er1 0.0787 0.0787 0.7639  3 Hf 3.27, 6 Er 3.41, 3 Tm 3.52
Er2 0.2546 0.2546 0.2362  3 Hf 3.26, 6 Er 3.41, 3 Tm 3.51
Hf1 0.6664 0.6664 0.0007  6 Er 3.26-3.27, 6 Hf 3.41
Tm1 0.5003 0.5003 0.4992  6 Tm 3.41, 6 Er 3.51-3.52

---

Below is an optimized crystal structure of ErTm3Hf, with properties calculated at the PBE level.

## Properties
Space group: P2_1/m

Unit cell a=6.0314 b=10.6750 c=9.2025 alpha=149.51 beta=70.59 gamma=106.63
Last column: nearest neighbours and their distance in Å.
Sites, in units of the cell vectors:
Tm1 0.8344 0.2502 0.7473  7 Tm 3.34-3.51, 4 Hf 3.36-3.50, 1 Er 3.41
Tm2 0.4445 0.2495 0.5597  3 Hf 3.32-3.40, 6 Tm 3.34-3.65, 3 Er 3.40-3.65
Tm3 0.5555 0.7505 0.4403  3 Hf 3.32-3.40, 6 Tm 3.34-3.65, 3 Er 3.40-3.65
Tm4 0.1656 0.7498 0.2527  7 Tm 3.34-3.51, 4 Hf 3.36-3.50, 1 Er 3.41
Tm5 0.9744 0.7497 0.6491  3 Hf 3.34-3.46, 5 Tm 3.35-3.65, 4 Er 3.41-3.55
Tm6 0.0256 0.2503 0.3509  3 Hf 3.34-3.46, 5 Tm 3.35-3.65, 4 Er 3.41-3.55
Hf1 0.7697 0.7499 0.0476  10 Tm 3.32-3.50, 2 Er 3.42-3.43
Hf2 0.2303 0.2501 0.9524  10 Tm 3.32-3.50, 2 Er 3.42-3.43
Er1 0.6363 0.2500 0.1401  8 Tm 3.40-3.65, 2 Hf 3.42-3.43, 2 Er 3.45
Er2 0.3637 0.7500 0.8599  8 Tm 3.40-3.65, 2 Hf 3.42-3.43, 2 Er 3.45

---

Below is an optimized crystal structure of ErTm14Hf, with properties calculated at the PBE level.

## Properties
Space group: P4/mmm

Unit cell a=6.9278 b=6.9278 c=9.7620 alpha=90.00 beta=90.00 gamma=90.00
Last column: nearest neighbours and their distance in Å.
Sites, in units of the cell vectors:
Tm1 0.1202 0.8798 0.7554  1 Hf 3.39, 10 Tm 3.40-3.53, 1 Er 3.46
Tm2 0.8750 0.6250 0.0000  8 Tm 3.42, 2 Hf 3.46, 2 Er 3.46
Tm3 0.1202 0.8798 0.2446  1 Hf 3.39, 10 Tm 3.40-3.53, 1 Er 3.46
Tm4 0.8750 0.1250 0.5000  12 Tm 3.46
Tm5 0.6299 0.3701 0.2446  1 Hf 3.39, 10 Tm 3.40-3.53, 1 Er 3.45
Tm6 0.6299 0.3701 0.7554  1 Hf 3.39, 10 Tm 3.40-3.53, 1 Er 3.45
Tm7 0.3750 0.6250 0.5000  12 Tm 3.46-3.53
Tm8 0.1201 0.3701 0.7554  1 Hf 3.39, 10 Tm 3.40-3.53, 1 Er 3.46
Tm9 0.3750 0.1250 0.0000  8 Tm 3.42, 2 Hf 3.46, 2 Er 3.46
Tm10 0.6299 0.8799 0.7554  1 Hf 3.39, 10 Tm 3.40-3.53, 1 Er 3.46
Tm11 0.1201 0.3701 0.2446  1 Hf 3.39, 10 Tm 3.40-3.53, 1 Er 3.46
Tm12 0.6299 0.8799 0.2446  1 Hf 3.39, 10 Tm 3.40-3.53, 1 Er 3.46
Tm13 0.8750 0.6250 0.5000  12 Tm 3.46-3.50
Tm14 0.3750 0.1250 0.5000  12 Tm 3.46-3.50
Er1 0.3751 0.6249 0.0000  12 Tm 3.45-3.46
Hf1 0.8749 0.1251 0.0000  12 Tm 3.39-3.46

---

Below is an optimized crystal structure of ErTm2Hf, with properties calculated at the PBE level.

## Properties
Energy above the lowest structure with this stoichiometry (meV/atom): 0
Space group: P-6m2

Unit cell a=3.4506 b=3.4506 c=10.8519 alpha=90.00 beta=90.00 gamma=60.00
Last column: nearest neighbours and their distance in Å.
Sites, in units of the cell vectors:
Tm1 0.2966 0.6989 0.2146  3 Hf 3.24, 6 Tm 3.45, 3 Er 3.50
Tm2 0.2964 0.6989 0.6847  3 Hf 3.24, 6 Tm 3.45, 3 Er 3.50
Hf1 0.6297 0.0324 0.4497  6 Tm 3.24, 6 Hf 3.45
Er1 0.6298 0.0321 0.9496  6 Er 3.45, 6 Tm 3.50

---

Number 1: formation energy from the elements 0.346 eV per atom. Number 2: formation energy from the elements 0.126 eV per atom. Number 3: formation energy from the elements 0.047 eV per atom. Number 4: formation energy from the elements 0.216 eV per atom. Number 5: formation energy from the elements 0.095 eV per atom. Number 6: formation energy from the elements 0.065 eV per atom. Number 7: formation energy from the elements 0.049 eV per atom. Number 8: formation energy from the elements 0.063 eV per atom.